1.
5
Lattice="-3.302 -0.466 -1.718 -1.246 -2.672 3.120 -1.408 2.898 1.920" Properties=species:S:1:pos:R:3 comment="PBE MnInBC2, optimized geometry" volume_a3_per_cell=60.4 formation_energy_ev_per_atom=1.4344 total_energy_ev_per_atom=-5.97 pbc="T T T"
B -0.623 -1.336 1.560
C -0.704 1.449 0.960
Mn 0.000 0.000 0.000
C -1.651 -0.233 -0.859
In -2.978 -0.120 1.661


2.
15
Lattice="8.531 0.000 0.000 -4.266 7.388 -0.029 0.000 -4.894 7.905" Properties=species:S:1:pos:R:3 comment="PBE K3PuBi3Se8, optimized geometry" volume_a3_per_cell=497.0 formation_energy_uncorrected_ev_per_atom=-0.893 total_energy_ev_per_atom=-4.70 pbc="T T T"
Pu 0.000 -2.447 3.952
Bi 2.133 1.247 3.938
Bi -2.133 1.247 3.938
Se 0.000 -0.076 5.533
K 0.000 0.000 0.000
Se 6.483 -1.272 2.358
Se 4.266 0.022 5.616
K -2.133 3.694 -0.015
Se 4.266 2.570 2.342
Bi 4.266 -2.447 3.952
Se 0.000 2.471 2.259
Se -2.218 3.765 5.517
K 2.133 3.694 -0.015
Se 2.048 -1.272 2.358
Se 2.218 3.765 5.517


3.
10
Lattice="6.308 0.000 0.000 3.154 7.181 0.000 3.154 0.000 7.181" Properties=species:S:1:pos:R:3 comment="PBE SmY5Tm4, optimized geometry" e_above_lowest_polymorph_ev_per_atom=0.263 volume_a3_per_cell=325.3 formation_energy_ev_per_atom=0.3106 total_energy_ev_per_atom=-5.18 pbc="T T T"
Y 2.846 4.451 0.652
Y 4.263 0.000 0.000
Y 6.000 6.530 4.451
Tm 6.005 2.882 5.033
Y 9.154 2.731 6.530
Tm 2.851 2.149 2.882
Tm 6.005 4.299 2.149
Y 6.000 0.652 2.731
Sm 1.402 0.000 0.000
Tm 9.159 5.033 4.299


4.
11
Lattice="5.321 0.000 0.000 0.000 7.081 0.322 -2.660 -2.649 8.769" Properties=species:S:1:pos:R:3 comment="PBE Nd8Hg2Os, optimized geometry" e_above_lowest_polymorph_ev_per_atom=0.000 volume_a3_per_cell=334.9 formation_energy_ev_per_atom=-0.1778 total_energy_ev_per_atom=-4.72 pbc="T T T"
Nd 0.000 5.459 0.649
Hg 2.660 0.268 5.565
Hg 0.000 4.164 3.527
Nd 2.660 5.992 2.992
Nd 2.660 -1.027 8.442
Nd 2.660 2.582 1.675
Nd 0.000 1.103 3.619
Os 2.660 0.000 0.000
Nd 2.660 3.329 5.472
Nd 0.000 1.850 7.416
Nd 0.000 -1.560 6.099


5.
4
Lattice="6.899 0.628 -0.113 4.062 5.612 0.113 -4.953 -4.047 2.665" Properties=species:S:1:pos:R:3 comment="PBE ZrCrBr2, optimized geometry" e_above_lowest_polymorph_ev_per_atom=0.374 volume_a3_per_cell=97.9 formation_energy_uncorrected_ev_per_atom=-0.020 total_energy_ev_per_atom=-5.40 pbc="T T T"
Zr 2.156 2.264 1.389
Br 0.606 0.345 0.000
Cr 4.686 2.668 0.000
Br 4.041 0.037 1.276


6.
5
Lattice="-0.186 4.100 -4.185 -4.790 2.305 2.471 3.374 3.498 3.277" Properties=species:S:1:pos:R:3 comment="PBE K3ZrRu, optimized geometry" volume_a3_per_cell=201.4 formation_energy_ev_per_atom=1.8920 total_energy_ev_per_atom=-2.33 pbc="T T T"
Zr -0.801 4.951 0.781
K 1.687 1.749 1.638
K -2.395 1.152 1.235
Ru 0.000 0.000 0.000
K -0.093 2.050 -2.092


7.
5
Lattice="4.621 0.000 0.000 0.000 5.594 0.000 0.000 0.000 4.621" Properties=species:S:1:pos:R:3 comment="PBE VPtPbSe2, optimized geometry" volume_a3_per_cell=119.4 formation_energy_uncorrected_ev_per_atom=0.403 total_energy_ev_per_atom=-4.76 pbc="T T T"
V 0.000 0.000 0.000
Se 0.000 0.000 2.310
Pt 2.310 2.797 2.310
Se 2.310 0.000 0.000
Pb 0.000 2.797 0.000


8.
10
Lattice="-4.281 -3.634 -3.854 1.558 -4.739 2.729 -5.150 -4.106 1.755" Properties=species:S:1:pos:R:3 comment="PBE Dy2AlHPd6, optimized geometry" volume_a3_per_cell=167.3 total_energy_ev_per_atom=-5.51 pbc="T T T"
Dy -2.895 -6.698 1.881
Pd -7.664 -7.879 -0.391
Pd -0.209 -4.599 1.021
Dy -4.978 -5.780 -1.251
Pd -6.888 -10.245 0.968
Pd -4.926 -8.467 -0.023
Pd -2.947 -4.011 0.653
H -1.362 -4.186 -0.562
Al 0.000 0.000 0.000
Pd -0.985 -2.233 -0.338